# 1
The following is a DFT calculation (GGA-PBEsol) of a geometry-optimized TaZn2Se structure.

a = 3.134 Å, b = 4.311 Å, c = 4.724 Å
α = 90.00°, β = 90.00°, γ = 90.00°
Positions (direct):
Ta: 0.000 0.000 0.000
Zn: 0.000 0.500 0.500
Zn: 0.500 0.000 0.500
Se: 0.500 0.500 0.000

Properties
The calculated volume is 15.96 Å³ per atom. Its space group is Pmmm, No. 47. For the formation energy without anion corrections, the calculation gives 141.6 meV per atom. For the density of states at the Fermi level, the calculation gives 2.39 states/eV per cell. The total energy comes out at -4.7497 eV per atom. Its crystal system is orthorhombic.


# 2
The following is a DFT calculation (GGA-PBEsol) of a geometry-optimized ZnSiAs structure.

a = 4.348 Å, b = 4.348 Å, c = 4.348 Å
α = 60.00°, β = 60.00°, γ = 60.00°
Positions (direct):
Zn: 0.000 0.000 0.000
Si: 0.500 0.500 0.500
As: 0.750 0.750 0.750

Properties
The calculated volume is 19.37 Å³ per atom. Its space group is F-43m, No. 216. For the formation energy without anion corrections, the calculation gives 430.1 meV per atom. For the density of states at the Fermi level, the calculation gives 1.68 states/eV per cell. The total energy comes out at -3.7149 eV per atom. Its crystal system is cubic.


# 3
The following is a DFT calculation (GGA-PBEsol) of a geometry-optimized BaMgAs2 structure.

a = 5.489 Å, b = 5.489 Å, c = 3.404 Å
α = 90.00°, β = 90.00°, γ = 97.10°
Positions (direct):
Ba: 0.000 0.000 0.000
Mg: 0.500 0.500 0.000
As: 0.000 0.500 0.500
As: 0.500 0.000 0.500

Properties
The calculated volume is 25.44 Å³ per atom. Its space group is Cmmm, No. 65. Its formation energy is -1.5 eV per formula unit. For the density of states at the Fermi level, the calculation gives 2.14 states/eV per cell. The total energy comes out at -3.8997 eV per atom. Its crystal system is orthorhombic.


# 4
The following is a DFT calculation (GGA-PBEsol) of a geometry-optimized ZnCdIn2 structure.

a = 5.273 Å, b = 5.273 Å, c = 5.273 Å
α = 128.96°, β = 128.96°, γ = 75.08°
Positions (direct):
Zn: 0.000 0.000 0.000
Cd: 0.500 0.500 0.000
In: 0.250 0.750 0.500
In: 0.750 0.250 0.500

Properties
Its distance to the lowest polymorph of the same formula is 0.0319 eV/atom. The calculated volume is 21.58 Å³ per atom. Its space group is I4/mmm, No. 139. Its formation energy is 0.4 eV per formula unit. For the density of states at the Fermi level, the calculation gives 1.61 states/eV per cell. The total energy comes out at -2.0913 eV per atom. Its crystal system is tetragonal.


# 5
The following is a DFT calculation (GGA-PBEsol) of a geometry-optimized RbBa2Ag2 structure.

a = 7.627 Å, b = 7.627 Å, c = 7.627 Å
α = 136.91°, β = 136.91°, γ = 62.58°
Positions (direct):
Rb: 0.000 0.000 0.000
Ba: 0.250 0.750 0.500
Ba: 0.750 0.250 0.500
Ag: 0.396 0.396 0.000
Ag: 0.604 0.604 0.000

Properties
Its distance to the lowest polymorph of the same formula is 0.1084 eV/atom. The calculated volume is 40.91 Å³ per atom. Its space group is I4/mmm, No. 139. Its formation energy is 0.2 eV per formula unit. For the density of states at the Fermi level, the calculation gives 3.21 states/eV per cell. The total energy comes out at -2.3561 eV per atom. Its crystal system is tetragonal.


# 6
The following is a DFT calculation (GGA-PBEsol) of a geometry-optimized ScBe2Ag structure.

a = 4.857 Å, b = 4.857 Å, c = 4.857 Å
α = 47.85°, β = 47.85°, γ = 47.85°
Positions (direct):
Sc: 0.000 0.000 0.000
Be: 0.207 0.207 0.207
Be: 0.793 0.793 0.793
Ag: 0.500 0.500 0.500

Properties
The calculated volume is 14.42 Å³ per atom. Its space group is R-3m, No. 166. Its formation energy is 0.1 eV per formula unit. For the density of states at the Fermi level, the calculation gives 2.88 states/eV per cell. The total energy comes out at -4.4608 eV per atom. Its crystal system is trigonal.


# 7
The following is a DFT calculation (GGA-PBEsol) of a geometry-optimized Sc2MnAl structure.

a = 4.844 Å, b = 4.844 Å, c = 4.844 Å
α = 126.05°, β = 126.05°, γ = 79.81°
Positions (direct):
Sc: 0.250 0.750 0.500
Sc: 0.750 0.250 0.500
Mn: 0.000 0.000 0.000
Al: 0.500 0.500 0.000

Properties
The calculated volume is 17.94 Å³ per atom. Its space group is I4/mmm, No. 139. Its formation energy is -0.4 eV per formula unit. For the density of states at the Fermi level, the calculation gives 3.87 states/eV per cell. The total energy comes out at -6.8732 eV per atom. Its crystal system is tetragonal.


# 8
The following is a DFT calculation (GGA-PBEsol) of a geometry-optimized FeTcSe2 structure.

a = 3.072 Å, b = 3.840 Å, c = 5.350 Å
α = 90.00°, β = 90.00°, γ = 90.00°
Positions (direct):
Fe: 0.000 0.000 0.000
Tc: 0.500 0.000 0.500
Se: 0.000 0.500 0.500
Se: 0.500 0.500 0.000

Properties
Its distance to the lowest polymorph of the same formula is 0.4428 eV/atom. The calculated volume is 15.78 Å³ per atom. Its space group is Pmmm, No. 47. For the formation energy without anion corrections, the calculation gives 547.3 meV per atom. For the density of states at the Fermi level, the calculation gives 4.86 states/eV per cell. The total energy comes out at -6.4353 eV per atom. Its crystal system is orthorhombic.


# 9
The following is a DFT calculation (GGA-PBEsol) of a geometry-optimized KHg2GeCl structure.

a = 6.127 Å, b = 6.127 Å, c = 6.362 Å
α = 90.00°, β = 90.00°, γ = 90.00°
Positions (direct):
K: 0.000 0.000 0.000
Hg: 0.000 0.500 0.000
Hg: 0.500 0.000 0.000
Ge: 0.000 0.000 0.500
Cl: 0.500 0.500 0.500

Properties
The calculated volume is 47.76 Å³ per atom. Its space group is P4/mmm, No. 123. For the formation energy without anion corrections, the calculation gives 620.1 meV per atom. For the density of states at the Fermi level, the calculation gives 4.45 states/eV per cell. The total energy comes out at -1.2227 eV per atom. Its crystal system is tetragonal.


# 10
The following is a DFT calculation (GGA-PBEsol) of a geometry-optimized K2SrFe structure.

a = 4.108 Å, b = 6.624 Å, c = 5.823 Å
α = 90.00°, β = 95.17°, γ = 90.00°
Positions (direct):
K: 0.215 0.000 0.275
K: 0.785 0.000 0.725
Sr: 0.500 0.500 0.000
Fe: 0.000 0.500 0.500

Properties
The calculated volume is 39.45 Å³ per atom. Its space group is P2/m, No. 10. Its formation energy is 3.6 eV per formula unit. For the density of states at the Fermi level, the calculation gives 4.31 states/eV per cell. The total energy comes out at -2.3556 eV per atom. Its crystal system is monoclinic.


# 11
The following is a DFT calculation (GGA-PBEsol) of a geometry-optimized Tb4FeSn8 structure.

a = 4.364 Å, b = 4.421 Å, c = 16.220 Å
α = 90.00°, β = 90.00°, γ = 90.00°
Positions (direct):
Tb: 0.000 0.000 0.000
Tb: 0.000 0.500 0.491
Tb: 0.500 0.000 0.791
Tb: 0.500 0.500 0.298
Fe: 0.000 0.500 0.701
Sn: 0.000 0.000 0.329
Sn: 0.000 0.000 0.633
Sn: 0.000 0.500 0.149
Sn: 0.000 0.500 0.851
Sn: 0.500 0.000 0.150
Sn: 0.500 0.000 0.458
Sn: 0.500 0.500 0.631
Sn: 0.500 0.500 0.972

Properties
The calculated volume is 24.07 Å³ per atom. Its space group is Pmm2, No. 25. Its formation energy is -7.4 eV per formula unit. For the density of states at the Fermi level, the calculation gives 8.04 states/eV per cell. The total energy comes out at -5.4230 eV per atom. Its crystal system is orthorhombic.


# 12
The following is a DFT calculation (GGA-PBEsol) of a geometry-optimized Au structure.

a = 2.829 Å, b = 2.829 Å, c = 2.829 Å
α = 105.04°, β = 105.04°, γ = 118.75°
Positions (direct):
Au: 0.000 0.000 0.000

Properties
Its distance to the lowest polymorph of the same formula is 0.0153 eV/atom. The calculated volume is 17.08 Å³ per atom. Its space group is I4/mmm, No. 139. Its formation energy is 0.0 eV per formula unit. For the density of states at the Fermi level, the calculation gives 0.26 states/eV per cell. The total energy comes out at -3.9087 eV per atom. Its crystal system is tetragonal.